[1]
A plane-wave DFT calculation with GGA-PBE was carried out for a relaxed structure of Ac2NiSb3Pd4.

The space group is P-4m2 (No. 115) and the conventional cell measures 4.6139, 4.6139 and 10.6758 Å, with angles of 90.00, 90.00 and 90.00 degrees. Symmetry generates all atoms from Ac at (0.0000, 0.5000, 0.2443), Ni at (0.5000, 0.5000, 0.0000), Sb at (0.0000, 0.0000, 0.0000), Sb at (0.0000, 0.5000, 0.6327), Pd at (0.0000, 0.0000, 0.5000), Pd at (0.0000, 0.5000, 0.8808) and Pd at (0.5000, 0.5000, 0.5000).

The value obtained for the total DFT energy (no corrections) is -5.48 eV per atom. The uncorrected formation energy comes out at -7.69 eV per formula unit. Its total magnetization is 0.01 μB per atom.

=====

[2]
A plane-wave DFT calculation with GGA-PBE was carried out for a relaxed structure of Tb2IrS.

The space group is P4/mmm (No. 123) and the conventional cell measures 3.4286, 3.4286 and 7.1115 Å, with angles of 90.00, 90.00 and 90.00 degrees. Symmetry generates all atoms from Tb at (0.0000, 0.0000, 0.2403), Ir at (0.5000, 0.5000, 0.0000) and S at (0.5000, 0.5000, 0.5000).

The value obtained for the total DFT energy (no corrections) is -6.76 eV per atom. The uncorrected formation energy comes out at -4.79 eV per formula unit. Its total magnetization is 0.00 μB per atom. The distance to the lowest polymorph of the same formula comes out at 0.1049 eV per atom.

=====

[3]
A plane-wave DFT calculation with GGA-PBE was carried out for a relaxed structure of CaTb2Tl.

The space group is F-43m (No. 216) and the conventional cell measures 7.8781, 7.8781 and 7.8781 Å, with angles of 90.00, 90.00 and 90.00 degrees. Symmetry generates all atoms from Ca at (0.0000, 0.0000, 0.0000), Tb at (0.0000, 0.0000, 0.5000), Tb at (0.2500, 0.2500, 0.7500) and Tl at (0.2500, 0.2500, 0.2500).

Its formation energy is 6.6 kJ/mol of formula units. The value obtained for the total DFT energy (no corrections) is -3.39 eV per atom. Its total magnetization is 0.11 μB per atom. The distance to the lowest polymorph of the same formula comes out at 0.1642 eV per atom.

=====

[4]
A plane-wave DFT calculation with GGA-PBE was carried out for a relaxed structure of YPRh.

The space group is C2/m (No. 12) and the conventional cell measures 10.1611, 4.0158 and 6.7381 Å, with angles of 90.00, 128.04 and 90.00 degrees. Symmetry generates all atoms from Y at (0.0610, 0.0000, 0.3050), P at (0.1684, 0.5000, 0.7074) and Rh at (0.1884, 0.5000, 0.0850).

Its formation energy is -316.7 kJ/mol of formula units. The value obtained for the total DFT energy (no corrections) is -7.50 eV per atom. Its total magnetization is 0.00 μB per atom.

=====

[5]
A plane-wave DFT calculation with GGA-PBE was carried out for a relaxed structure of CsZn2Te2.

The space group is I4/mmm (No. 139) and the conventional cell measures 4.8950, 4.8950 and 14.3342 Å, with angles of 90.00, 90.00 and 90.00 degrees. Symmetry generates all atoms from Cs at (0.0000, 0.0000, 0.0000), Zn at (0.0000, 0.5000, 0.2500) and Te at (0.0000, 0.0000, 0.3439).

The value obtained for the total DFT energy (no corrections) is -2.45 eV per atom. The uncorrected formation energy comes out at -2.55 eV per formula unit. Its total magnetization is 0.00 μB per atom. The distance to the lowest polymorph of the same formula comes out at 0.0000 eV per atom.

=====

[6]
A plane-wave DFT calculation with GGA-PBE was carried out for a relaxed structure of ScIrOs2.

The space group is I-4m2 (No. 119) and the conventional cell measures 3.9482, 3.9482 and 7.8968 Å, with angles of 90.00, 90.00 and 90.00 degrees. Symmetry generates all atoms from Sc at (0.0000, 0.0000, 0.0000), Ir at (0.0000, 0.5000, 0.7500), Os at (0.0000, 0.0000, 0.5000) and Os at (0.0000, 0.5000, 0.2500).

Its formation energy is -43.6 kJ/mol of formula units. The value obtained for the total DFT energy (no corrections) is -9.53 eV per atom. Its total magnetization is 0.00 μB per atom. The distance to the lowest polymorph of the same formula comes out at 0.0643 eV per atom.

=====

[7]
A plane-wave DFT calculation with GGA-PBE was carried out for a relaxed structure of SrLi3Be.

The space group is Pm-3m (No. 221) and the conventional cell measures 5.5939, 5.5939 and 5.5939 Å, with angles of 90.00, 90.00 and 90.00 degrees. Symmetry generates all atoms from Sr at (0.0000, 0.0000, 0.0000), Li at (0.0000, 0.0000, 0.5000) and Be at (0.5000, 0.5000, 0.5000).

Its formation energy is 670.5 kJ/mol of formula units. The value obtained for the total DFT energy (no corrections) is -0.84 eV per atom. Its total magnetization is 0.00 μB per atom. The distance to the lowest polymorph of the same formula comes out at 1.1321 eV per atom.

=====

[8]
A plane-wave DFT calculation with GGA-PBE was carried out for a relaxed structure of YPaAg2O6.

The space group is C2/m (No. 12) and the conventional cell measures 9.9628, 6.2407 and 5.7885 Å, with angles of 90.00, 124.86 and 90.00 degrees. Symmetry generates all atoms from Y at (0.0000, 0.0000, 0.0000), Pa at (0.0000, 0.5000, 0.5000), Ag at (0.2470, 0.0000, 0.7993), O at (0.0803, 0.2532, 0.8237) and O at (0.2383, 0.5000, 0.5810).

The value obtained for the total DFT energy (no corrections) is -7.15 eV per atom. The uncorrected formation energy comes out at -20.08 eV per formula unit. Its total magnetization is 0.00 μB per atom.